No. 1
DFT (PBE) results for a relaxed Pr5MgSb2 crystal.

Output
Crystal system: orthorhombic
SG: Cmcm, No. 63

a = 5.870 Å, b = 6.713 Å, c = 15.379 Å
α = 90.00°, β = 90.00°, γ = 115.93°
Atoms (fractional coordinates):
1 Sb 0.196 0.391 0.895
2 Pr 0.376 0.751 0.450
3 Sb 0.804 0.609 0.105
4 Mg 0.309 0.618 0.250
5 Pr 0.376 0.751 0.050
6 Pr 0.073 0.146 0.102
7 Pr 0.073 0.146 0.398
8 Pr 0.618 0.236 0.250
9 Mg 0.691 0.382 0.750
10 Pr 0.927 0.854 0.898
11 Pr 0.624 0.249 0.950
12 Sb 0.804 0.609 0.395
13 Sb 0.196 0.391 0.605
14 Pr 0.927 0.854 0.602
15 Pr 0.382 0.764 0.750
16 Pr 0.624 0.249 0.550


No. 2
DFT (PBE) results for a relaxed PrMg2Sb crystal.

Output
Crystal system: tetragonal
SG: P4/mmm, No. 123

a = 4.945 Å, b = 4.598 Å, c = 4.598 Å
α = 90.00°, β = 90.00°, γ = 90.00°
Atoms (fractional coordinates):
1 Pr 0.500 0.500 0.500
2 Mg 0.000 0.000 0.500
3 Mg 0.000 0.500 0.000
4 Sb 0.500 0.000 0.000


No. 3
DFT (PBE) results for a relaxed PrMgSb crystal.

Output
Crystal system: orthorhombic
SG: Pmmm, No. 47
Polymorph energy (0 for the lowest one) in eV/atom: 0.2075

a = 4.868 Å, b = 4.195 Å, c = 9.396 Å
α = 90.00°, β = 90.00°, γ = 90.00°
Atoms (fractional coordinates):
1 Pr 0.500 0.001 0.750
2 Mg 0.000 0.000 0.500
3 Sb 0.000 0.500 0.750
4 Sb 0.000 0.500 0.250
5 Pr 0.500 0.999 0.250
6 Mg 0.000 0.000 0.000


No. 4
DFT (PBE) results for a relaxed PrMgSb2 crystal.

Output
Crystal system: trigonal
SG: R3m, No. 160
Polymorph energy (0 for the lowest one) in eV/atom: 0.1106

a = 4.543 Å, b = 4.543 Å, c = 7.328 Å
α = 71.94°, β = 71.94°, γ = 60.00°
Atoms (fractional coordinates):
1 Sb 0.091 0.091 0.727
2 Sb 0.245 0.245 0.266
3 Pr 0.668 0.668 0.995
4 Mg 0.496 0.496 0.513


No. 5
DFT (PBE) results for a relaxed PrMgSb2 crystal.

Output
Crystal system: tetragonal
SG: P4/mmm, No. 123
Polymorph energy (0 for the lowest one) in eV/atom: 0.1080

a = 4.236 Å, b = 5.061 Å, c = 5.061 Å
α = 90.00°, β = 90.00°, γ = 90.00°
Atoms (fractional coordinates):
1 Sb 0.000 0.500 0.000
2 Sb 0.000 0.000 0.500
3 Pr 0.500 0.500 0.500
4 Mg 0.500 0.000 0.000


No. 6
DFT (PBE) results for a relaxed PrMg3Sb3 crystal.

Output
Crystal system: trigonal
SG: R-3, No. 148

a = 8.183 Å, b = 8.183 Å, c = 8.856 Å
α = 62.48°, β = 62.48°, γ = 60.00°
Atoms (fractional coordinates):
1 Mg 0.445 0.794 0.635
2 Sb 0.578 0.922 0.243
3 Sb 0.257 0.578 0.243
4 Sb 0.422 0.078 0.757
5 Mg 0.794 0.126 0.635
6 Sb 0.078 0.743 0.757
7 Mg 0.126 0.445 0.635
8 Mg 0.206 0.874 0.365
9 Sb 0.743 0.422 0.757
10 Mg 0.555 0.206 0.365
11 Sb 0.922 0.257 0.243
12 Mg 0.874 0.555 0.365
13 Pr 0.666 0.666 0.002
14 Pr 0.334 0.334 0.998


No. 7
DFT (PBE) results for a relaxed Pr3MgSb crystal.

Output
Crystal system: triclinic
SG: P1, No. 1

a = 4.222 Å, b = 7.902 Å, c = 10.190 Å
α = 92.91°, β = 90.20°, γ = 105.70°
Atoms (fractional coordinates):
1 Pr 0.264 0.561 0.029
2 Pr 0.780 0.593 0.392
3 Pr 0.974 0.986 0.044
4 Mg 0.208 0.456 0.638
5 Mg 0.835 0.698 0.784
6 Pr 0.070 0.169 0.377
7 Sb 0.633 0.298 0.150
8 Sb 0.411 0.856 0.271
9 Pr 0.443 0.910 0.590
10 Pr 0.601 0.244 0.831


No. 8
DFT (PBE) results for a relaxed PrMgSb2 crystal.

Output
Crystal system: tetragonal
SG: P4/nmm, No. 129
Polymorph energy (0 for the lowest one) in eV/atom: 0.0000

a = 4.450 Å, b = 4.450 Å, c = 11.168 Å
α = 90.00°, β = 90.00°, γ = 90.00°
Atoms (fractional coordinates):
1 Sb 0.500 0.000 0.173
2 Pr 0.000 0.500 0.281
3 Mg 0.500 0.500 0.000
4 Pr 0.500 0.000 0.719
5 Sb 0.000 0.500 0.827
6 Sb 0.000 0.000 0.500
7 Mg 0.000 0.000 0.000
8 Sb 0.500 0.500 0.500


Number 1: formation energy without anion corrections -2.74 eV per formula unit, total magnetic moment 0.00 μB per formula unit, E_tot -4.5597 eV/atom. Number 2: formation energy without anion corrections -1.92 eV per formula unit, total magnetic moment 0.00 μB per formula unit, E_tot -3.5040 eV/atom. Number 3: formation energy without anion corrections -1.36 eV per formula unit, total magnetic moment 0.00 μB per formula unit, E_tot -3.9509 eV/atom. Number 4: formation energy without anion corrections -2.45 eV per formula unit, total magnetic moment 0.00 μB per formula unit, E_tot -4.2661 eV/atom. Number 5: formation energy without anion corrections -2.46 eV per formula unit, total magnetic moment 0.00 μB per formula unit, E_tot -4.2687 eV/atom. Number 6: formation energy without anion corrections -4.20 eV per formula unit, total magnetic moment 0.00 μB per formula unit, E_tot -3.7325 eV/atom. Number 7: formation energy without anion corrections -1.99 eV per formula unit, total magnetic moment 0.00 μB per formula unit, E_tot -4.4090 eV/atom. Number 8: formation energy without anion corrections -2.89 eV per formula unit, total magnetic moment 0.00 μB per formula unit, E_tot -4.3767 eV/atom.